## Np2CrNi3As4 (PBE)

Data for Np2CrNi3As4 after structural relaxation.

Lattice parameters (Å, degrees): 4.1856 4.1856 9.5715 90.00 90.00 90.00
With the nearest neighbours (Å) after each atom.
Fractional coordinates of all 10 atoms:
1 Np 0.5000 0.0000 0.2391  8 As 3.10-3.17, 7 Ni 3.19-3.39, 2 Cr 3.26
2 Np 0.0000 0.5000 0.7609  8 As 3.10-3.17, 7 Ni 3.19-3.39, 2 Cr 3.26
3 Cr 0.5000 0.5000 0.5000  4 As 2.49
4 Ni 0.0000 0.0000 0.5000  4 As 2.49
5 Ni 0.5000 0.0000 0.8852  5 As 2.34-2.36
6 Ni 0.0000 0.5000 0.1148  5 As 2.34-2.36
7 As 0.5000 0.5000 0.0000  4 Ni 2.36
8 As 0.0000 0.0000 0.0000  4 Ni 2.36
9 As 0.5000 0.0000 0.6412  3 Ni 2.34-2.49, 2 Cr 2.49
10 As 0.0000 0.5000 0.3588  3 Ni 2.34-2.49, 2 Cr 2.49

Output
- Formation enthalpy at 0 K: -397.2 kJ/mol of formula units
- Final energy: -75.56 eV/cell
- Magnetic moment: 1.14 μB/atom
- Calculated density: 9.92 g/cm3